This record from the Alexandria database describes an optimized crystal structure of BaCa2MgZn4. The functional is PBE-GGA.

Unit cell a=5.0913 b=5.0913 c=10.0600 alpha=75.34 beta=75.34 gamma=60.00
Sites, in units of the cell vectors:
Ba (0.0000, 0.0000, 0.0000)
Ca (0.7684, 0.7684, 0.6948)
Ca (0.2316, 0.2316, 0.3052)
Mg (0.5000, 0.5000, 0.5000)
Zn (0.4027, 0.4027, 0.7920)
Zn (0.8770, 0.8770, 0.3691)
Zn (0.1230, 0.1230, 0.6309)
Zn (0.5973, 0.5973, 0.2080)

Results
Fermi-level density of states, states/eV/atom: 0.767
Calculated density, g/cm3: 3.87
Final energy, Ry per atom: -0.1264
ΔH_f (0 K), meV per atom: -143